Record 1
The following is a meta-GGA SCAN calculation of a crystal of YTa2Cu relaxed with PBEsol, from Alexandria.

Cell and atoms, written as POSCAR:
```
YTa2Cu
1.0
-0.953 2.518 1.317
-2.127 -3.252 3.160
4.170 0.072 2.881
Cu Ta Y
1 2 1
Cartesian
1.608 1.295 2.099
-0.836 0.106 1.207
-2.244 -0.841 3.270
1.022 -1.590 3.020
```

Computed properties:
Its formation energy from the elements is 355 meV per atom. The total DFT energy (no corrections) is -43.697 eV/atom.


Record 2
The following is a meta-GGA SCAN calculation of a crystal of InMo2PbC relaxed with PBEsol, from Alexandria.

Cell and atoms, written as POSCAR:
```
InMo2PbC
1.0
5.287 0.000 0.000
0.000 5.287 0.000
0.000 0.000 5.569
Pb Mo C In
1 2 1 1
Cartesian
0.000 0.000 0.000
0.000 2.643 0.000
2.643 0.000 0.000
2.643 2.643 2.785
0.000 0.000 2.785
```

Computed properties:
Its formation energy from the elements is 3017 meV per atom. The total DFT energy (no corrections) is -34.791 eV/atom.


Record 3
The following is a meta-GGA SCAN calculation of a crystal of MgP2Cl relaxed with PBEsol, from Alexandria.

Cell and atoms, written as POSCAR:
```
MgP2Cl
1.0
3.245 0.000 0.000
0.000 3.588 0.000
-1.622 -1.794 6.031
Cl Mg P
1 1 2
Cartesian
1.622 0.000 0.000
0.000 1.794 0.000
1.622 1.794 2.724
0.000 0.000 3.307
```

Computed properties:
The total DFT energy (no corrections) is -8.741 eV/atom. The formation energy (no corrections) comes out at -0.304 eV/atom.


Record 4
The following is a meta-GGA SCAN calculation of a crystal of CoTeIr relaxed with PBEsol, from Alexandria.

Cell and atoms, written as POSCAR:
```
CoTeIr
1.0
-0.204 -2.835 -1.086
1.978 0.702 -2.204
2.905 -0.339 4.601
Te Ir Co
1 1 1
Cartesian
2.102 -1.517 -0.697
2.620 -0.971 2.042
4.636 -2.456 1.278
```

Computed properties:
The total DFT energy (no corrections) is -41.293 eV/atom. The formation energy (no corrections) comes out at 0.592 eV/atom.


Record 5
The following is a meta-GGA SCAN calculation of a crystal of MnBe2Br relaxed with PBEsol, from Alexandria.

Cell and atoms, written as POSCAR:
```
MnBe2Br
1.0
-1.698 1.464 -1.928
-3.356 -1.785 1.600
-0.371 3.107 2.687
Be Mn Br
2 1 1
Cartesian
-0.186 1.554 1.344
-1.678 -0.893 0.800
-0.849 0.732 -0.964
-2.713 1.393 1.180
```

Computed properties:
The total DFT energy (no corrections) is -10.967 eV/atom. The formation energy (no corrections) comes out at 0.639 eV/atom.


Record 6
The following is a meta-GGA SCAN calculation of a crystal of Na3MnTe relaxed with PBEsol, from Alexandria.

Cell and atoms, written as POSCAR:
```
Na3MnTe
1.0
-3.918 3.312 1.910
-3.023 -1.009 -4.451
-2.341 -4.240 2.551
Na Te Mn
3 1 1
Cartesian
-1.511 -0.504 -2.225
-1.170 -2.120 1.275
-1.959 1.656 0.955
-4.641 -0.969 0.005
0.000 0.000 0.000
```

Computed properties:
The total DFT energy (no corrections) is -13.301 eV/atom. The formation energy (no corrections) comes out at 0.329 eV/atom.


Record 7
The following is a meta-GGA SCAN calculation of a crystal of IrRhW2 relaxed with PBEsol, from Alexandria.

Cell and atoms, written as POSCAR:
```
IrRhW2
1.0
2.748 0.000 0.000
0.000 4.426 0.000
0.000 0.000 4.797
Ir Rh W
1 1 2
Cartesian
1.374 0.000 2.634
1.374 2.213 0.953
0.000 0.000 0.236
0.000 2.213 3.373
```

Computed properties:
Its formation energy from the elements is -270 meV per atom. The total DFT energy (no corrections) is -61.332 eV/atom.


Record 8
The following is a meta-GGA SCAN calculation of a crystal of RbCuBi2W relaxed with PBEsol, from Alexandria.

Cell and atoms, written as POSCAR:
```
RbCuBi2W
1.0
4.997 0.000 0.000
0.000 5.308 0.000
0.000 0.000 5.308
Rb Cu Bi W
1 1 2 1
Cartesian
2.499 2.654 2.654
0.000 0.000 0.000
0.000 0.000 2.654
0.000 2.654 0.000
2.499 0.000 0.000
```

Computed properties:
Its formation energy from the elements is 1088 meV per atom. The total DFT energy (no corrections) is -51.469 eV/atom.